# CdInW2, relaxed, DFT GGA-PBE
data_CdInW2
_chemical_formula_sum 'Cd1 In1 W2'
_cell_length_a 2.8004
_cell_length_b 4.0708
_cell_length_c 6.7711
_cell_angle_alpha 90.00
_cell_angle_beta 90.00
_cell_angle_gamma 90.00
_space_group_name_H-M_alt 'P m m 2'
_space_group_IT_number 25
loop_
_space_group_symop_operation_xyz
'x,y,z'
'-x,-y,z'
'-x,y,z'
'x,-y,z'
loop_
_atom_site_label
_atom_site_type_symbol
_atom_site_fract_x
_atom_site_fract_y
_atom_site_fract_z
Cd1 Cd 0.0000 0.0000 0.0000
In1 In 0.5000 0.5000 0.2862
W1 W 0.0000 0.0000 0.5483
W2 W 0.5000 0.5000 0.7413
# crystal system: orthorhombic
# raw total energy: -26.99 eV/cell
# density of states at the Fermi level: 0.603 states/eV per atom
# offset from the most stable computed form: 5.05 kcal/mol of atoms

# KBe2Ag, relaxed, DFT GGA-PBE
data_KBe2Ag
_chemical_formula_sum 'K2 Be4 Ag2'
_cell_length_a 2.7899
_cell_length_b 5.5022
_cell_length_c 9.8087
_cell_angle_alpha 90.00
_cell_angle_beta 90.00
_cell_angle_gamma 90.00
_space_group_name_H-M_alt 'I m m 2'
_space_group_IT_number 44
loop_
_space_group_symop_operation_xyz
'x,y,z'
'-x,-y,z'
'-x,y,z'
'x,-y,z'
'x+1/2,y+1/2,z+1/2'
'-x+1/2,-y+1/2,z+1/2'
'-x+1/2,y+1/2,z+1/2'
'x+1/2,-y+1/2,z+1/2'
loop_
_atom_site_label
_atom_site_type_symbol
_atom_site_fract_x
_atom_site_fract_y
_atom_site_fract_z
K1 K 0.0000 0.0000 0.0000
Be1 Be 0.0000 0.0000 0.5204
Be2 Be 0.0000 0.5000 0.1896
Ag1 Ag 0.0000 0.5000 0.8159
# crystal system: orthorhombic
# raw total energy: -17.30 eV/cell
# density of states at the Fermi level: 0.442 states/eV per atom
# offset from the most stable computed form: 9.73 kcal/mol of atoms

# Pr2MgS, relaxed, DFT GGA-PBE
data_Pr2MgS
_chemical_formula_sum 'Pr6 Mg3 S3'
_cell_length_a 3.9904
_cell_length_b 3.9904
_cell_length_c 25.9670
_cell_angle_alpha 90.00
_cell_angle_beta 90.00
_cell_angle_gamma 120.00
_space_group_name_H-M_alt 'R 3 m'
_space_group_IT_number 160
_space_group_name_Hall 'R 3 -2"'
loop_
_atom_site_label
_atom_site_type_symbol
_atom_site_fract_x
_atom_site_fract_y
_atom_site_fract_z
Pr1 Pr 0.0000 0.0000 0.0000
Pr2 Pr 0.0000 0.0000 0.2053
Mg1 Mg 0.0000 0.0000 0.7696
S1 S 0.0000 0.0000 0.6019
# crystal system: trigonal
# raw total energy: -56.74 eV/cell
# density of states at the Fermi level: 0.832 states/eV per atom
# offset from the most stable computed form: 1.04 kcal/mol of atoms

# Cd2BiN, relaxed, DFT GGA-PBE
data_Cd2BiN
_chemical_formula_sum 'Cd8 Bi4 N4'
_cell_length_a 7.0953
_cell_length_b 7.0953
_cell_length_c 7.0953
_cell_angle_alpha 90.00
_cell_angle_beta 90.00
_cell_angle_gamma 90.00
_space_group_name_H-M_alt 'F m -3 m'
_space_group_IT_number 225
_space_group_name_Hall '-F 4 2 3'
loop_
_atom_site_label
_atom_site_type_symbol
_atom_site_fract_x
_atom_site_fract_y
_atom_site_fract_z
Cd1 Cd 0.2500 0.2500 0.2500
Bi1 Bi 0.0000 0.0000 0.0000
N1 N 0.0000 0.0000 0.5000
# crystal system: cubic
# raw total energy: -38.25 eV/cell
# density of states at the Fermi level: 0.336 states/eV per atom
# offset from the most stable computed form: 14.48 kcal/mol of atoms

# CeGa2Ni9, relaxed, DFT GGA-PBE
data_CeGa2Ni9
_chemical_formula_sum 'Ce2 Ga4 Ni18'
_cell_length_a 8.0366
_cell_length_b 8.0366
_cell_length_c 4.7942
_cell_angle_alpha 90.00
_cell_angle_beta 90.00
_cell_angle_gamma 90.00
_space_group_name_H-M_alt 'P 4/m b m'
_space_group_IT_number 127
_space_group_name_Hall '-P 4 2ab'
loop_
_atom_site_label
_atom_site_type_symbol
_atom_site_fract_x
_atom_site_fract_y
_atom_site_fract_z
Ce1 Ce 0.0000 0.0000 0.0000
Ga1 Ga 0.1206 0.3794 0.0000
Ni1 Ni 0.0000 0.5000 0.5000
Ni2 Ni 0.0648 0.2076 0.5000
Ni3 Ni 0.1770 0.6770 0.2400
# crystal system: tetragonal
# raw total energy: -135.04 eV/cell
# density of states at the Fermi level: 1.578 states/eV per atom
# offset from the most stable computed form: 0.00 kcal/mol of atoms

# Zn2CdTe, relaxed, DFT GGA-PBE
data_Zn2CdTe
_chemical_formula_sum 'Zn4 Cd2 Te2'
_cell_length_a 4.2095
_cell_length_b 4.7661
_cell_length_c 8.8125
_cell_angle_alpha 90.00
_cell_angle_beta 90.00
_cell_angle_gamma 90.00
_space_group_name_H-M_alt 'C m m 2'
_space_group_IT_number 35
loop_
_space_group_symop_operation_xyz
'x,y,z'
'-x,-y,z'
'-x,y,z'
'x,-y,z'
'x+1/2,y+1/2,z'
'-x+1/2,-y+1/2,z'
'-x+1/2,y+1/2,z'
'x+1/2,-y+1/2,z'
loop_
_atom_site_label
_atom_site_type_symbol
_atom_site_fract_x
_atom_site_fract_y
_atom_site_fract_z
Zn1 Zn 0.0000 0.0000 0.0000
Zn2 Zn 0.0000 0.5000 0.1765
Cd1 Cd 0.0000 0.5000 0.7741
Te1 Te 0.0000 0.0000 0.4571
# crystal system: orthorhombic
# raw total energy: -12.07 eV/cell
# density of states at the Fermi level: 0.289 states/eV per atom
# offset from the most stable computed form: 2.97 kcal/mol of atoms

# PrCuSn3, relaxed, DFT GGA-PBE
data_PrCuSn3
_chemical_formula_sum 'Pr4 Cu4 Sn12'
_cell_length_a 12.8982
_cell_length_b 6.2827
_cell_length_c 6.1890
_cell_angle_alpha 90.00
_cell_angle_beta 90.00
_cell_angle_gamma 90.00
_space_group_name_H-M_alt 'P b c m'
_space_group_IT_number 57
loop_
_space_group_symop_operation_xyz
'x,y,z'
'-x,-y,-z'
'-x,-y,z+1/2'
'x,y,-z+1/2'
'x,-y+1/2,-z'
'-x,y+1/2,z'
'-x,y+1/2,-z+1/2'
'x,-y+1/2,z+1/2'
loop_
_atom_site_label
_atom_site_type_symbol
_atom_site_fract_x
_atom_site_fract_y
_atom_site_fract_z
Pr1 Pr 0.1990 0.0045 0.2500
Cu1 Cu 0.3884 0.2500 0.0000
Sn1 Sn 0.0006 0.2500 0.0000
Sn2 Sn 0.2747 0.5163 0.2500
Sn3 Sn 0.4481 0.6030 0.7500
# crystal system: orthorhombic
# raw total energy: -90.46 eV/cell
# density of states at the Fermi level: 0.709 states/eV per atom

# MgSb2O2, relaxed, DFT GGA-PBE
data_MgSb2O2
_chemical_formula_sum 'Mg2 Sb4 O4'
_cell_length_a 6.1283
_cell_length_b 6.1283
_cell_length_c 4.4873
_cell_angle_alpha 90.00
_cell_angle_beta 90.00
_cell_angle_gamma 90.00
_space_group_name_H-M_alt 'P 4/m b m'
_space_group_IT_number 127
_space_group_name_Hall '-P 4 2ab'
loop_
_atom_site_label
_atom_site_type_symbol
_atom_site_fract_x
_atom_site_fract_y
_atom_site_fract_z
Mg1 Mg 0.0000 0.0000 0.0000
Sb1 Sb 0.1800 0.3200 0.5000
O1 O 0.2235 0.2765 0.0000
# crystal system: tetragonal
# raw total energy: -49.48 eV/cell
# density of states at the Fermi level: 0.129 states/eV per atom
# offset from the most stable computed form: 0.00 kcal/mol of atoms

# YScW4, relaxed, DFT GGA-PBE
data_YScW4
_chemical_formula_sum 'Y4 Sc4 W16'
_cell_length_a 7.7430
_cell_length_b 7.7430
_cell_length_c 7.7430
_cell_angle_alpha 90.00
_cell_angle_beta 90.00
_cell_angle_gamma 90.00
_space_group_name_H-M_alt 'F -4 3 m'
_space_group_IT_number 216
_space_group_name_Hall 'F -4 2 3'
loop_
_atom_site_label
_atom_site_type_symbol
_atom_site_fract_x
_atom_site_fract_y
_atom_site_fract_z
Y1 Y 0.0000 0.0000 0.0000
Sc1 Sc 0.2500 0.2500 0.7500
W1 W 0.1250 0.1250 0.3750
# crystal system: cubic
# raw total energy: -256.15 eV/cell
# density of states at the Fermi level: 1.146 states/eV per atom

# LiRu2, relaxed, DFT GGA-PBE
data_LiRu2
_chemical_formula_sum 'Li1 Ru2'
_cell_length_a 2.7125
_cell_length_b 2.7125
_cell_length_c 6.7187
_cell_angle_alpha 90.00
_cell_angle_beta 90.00
_cell_angle_gamma 120.00
_space_group_name_H-M_alt 'P -3 m 1'
_space_group_IT_number 164
_space_group_name_Hall '-P 3 2"'
loop_
_atom_site_label
_atom_site_type_symbol
_atom_site_fract_x
_atom_site_fract_y
_atom_site_fract_z
Li1 Li 0.0000 0.0000 0.0000
Ru1 Ru 0.3333 0.6667 0.3477
# crystal system: trigonal
# raw total energy: -19.89 eV/cell
# density of states at the Fermi level: 1.317 states/eV per atom

# TlRh3W, relaxed, DFT GGA-PBE
data_TlRh3W
_chemical_formula_sum 'Tl1 Rh3 W1'
_cell_length_a 4.8361
_cell_length_b 4.8361
_cell_length_c 4.8361
_cell_angle_alpha 90.00
_cell_angle_beta 90.00
_cell_angle_gamma 90.00
_space_group_name_H-M_alt 'P m -3 m'
_space_group_IT_number 221
_space_group_name_Hall '-P 4 2 3'
loop_
_atom_site_label
_atom_site_type_symbol
_atom_site_fract_x
_atom_site_fract_y
_atom_site_fract_z
Tl1 Tl 0.0000 0.0000 0.0000
Rh1 Rh 0.0000 0.0000 0.5000
W1 W 0.5000 0.5000 0.5000
# crystal system: cubic
# raw total energy: -26.41 eV/cell
# density of states at the Fermi level: 0.919 states/eV per atom

# CaLa2Zn, relaxed, DFT GGA-PBE
data_CaLa2Zn
_chemical_formula_sum 'Ca2 La4 Zn2'
_cell_length_a 6.6059
_cell_length_b 11.7696
_cell_length_c 3.6054
_cell_angle_alpha 90.00
_cell_angle_beta 115.78
_cell_angle_gamma 90.00
_space_group_name_H-M_alt 'C 1 2/m 1'
_space_group_IT_number 12
loop_
_space_group_symop_operation_xyz
'x,y,z'
'-x,-y,-z'
'-x,y,-z'
'x,-y,z'
'x+1/2,y+1/2,z'
'-x+1/2,-y+1/2,-z'
'-x+1/2,y+1/2,-z'
'x+1/2,-y+1/2,z'
loop_
_atom_site_label
_atom_site_type_symbol
_atom_site_fract_x
_atom_site_fract_y
_atom_site_fract_z
Ca1 Ca 0.0000 0.0000 0.0000
La1 La 0.2500 0.2500 0.5000
Zn1 Zn 0.0000 0.5000 0.0000
# crystal system: monoclinic
# raw total energy: -25.62 eV/cell
# density of states at the Fermi level: 1.207 states/eV per atom

> Among the records above, which one has the highest raw total energy?

Zn2CdTe